First-principles (PBE) data for a geometry-optimized NaVHg structure, as listed in Alexandria.

The structure in CIF format:
```
data_NaVHg
_cell_length_a 4.9649
_cell_length_b 4.9649
_cell_length_c 6.5023
_cell_angle_alpha 90.00
_cell_angle_beta 90.00
_cell_angle_gamma 120.00
_symmetry_space_group_name_H-M 'P -6 m 2'
_symmetry_Int_Tables_number 187
_symmetry_space_group_name_Hall 'P -6 2'
loop_
_atom_site_label
_atom_site_fract_x
_atom_site_fract_y
_atom_site_fract_z
Na1 0.0000 0.0000 0.0000
Na2 0.0000 0.0000 0.5000
V1 0.3333 0.6667 0.1427
Hg1 0.6667 0.3333 0.2359
```

Results
Density of states at the Fermi level in states/eV per cell: 4.68

First-principles (PBE) data for a geometry-optimized NaVHg structure, as listed in Alexandria.

The structure in CIF format:
```
data_NaVHg
_cell_length_a 2.9382
_cell_length_b 5.8291
_cell_length_c 8.0852
_cell_angle_alpha 109.25
_cell_angle_beta 96.95
_cell_angle_gamma 99.66
_symmetry_space_group_name_H-M 'P -1'
_symmetry_Int_Tables_number 2
_symmetry_space_group_name_Hall '-P 1'
loop_
_atom_site_label
_atom_site_fract_x
_atom_site_fract_y
_atom_site_fract_z
Na1 0.1944 0.1934 0.3867
V1 0.4049 0.1486 0.9999
Hg1 0.1098 0.6100 0.2201
```

Results
Density of states at the Fermi level in states/eV per cell: 3.13

First-principles (PBE) data for a geometry-optimized NaVHg structure, as listed in Alexandria.

The structure in CIF format:
```
data_NaVHg
_cell_length_a 5.0105
_cell_length_b 5.0105
_cell_length_c 3.0979
_cell_angle_alpha 90.00
_cell_angle_beta 90.00
_cell_angle_gamma 120.00
_symmetry_space_group_name_H-M 'P -6 m 2'
_symmetry_Int_Tables_number 187
_symmetry_space_group_name_Hall 'P -6 2'
loop_
_atom_site_label
_atom_site_fract_x
_atom_site_fract_y
_atom_site_fract_z
Na1 0.0000 0.0000 0.0000
V1 0.6667 0.3333 0.5000
Hg1 0.3333 0.6667 0.5000
```

Results
Density of states at the Fermi level in states/eV per cell: 3.40

First-principles (PBE) data for a geometry-optimized NaVHg structure, as listed in Alexandria.

The structure in CIF format:
```
data_NaVHg
_cell_length_a 3.0675
_cell_length_b 3.0817
_cell_length_c 14.7134
_cell_angle_alpha 87.89
_cell_angle_beta 87.87
_cell_angle_gamma 66.76
_symmetry_space_group_name_H-M 'P -1'
_symmetry_Int_Tables_number 2
_symmetry_space_group_name_Hall '-P 1'
loop_
_atom_site_label
_atom_site_fract_x
_atom_site_fract_y
_atom_site_fract_z
Na1 0.2083 0.2059 0.1074
V1 0.4016 0.3934 0.4443
Hg1 0.2082 0.2133 0.7124
```

Results
Density of states at the Fermi level in states/eV per cell: 3.54

no.,offset from the most stable computed form (meV per atom),energy of formation (eV per atom)
1,388,0.517
2,130,0.260
3,457,0.586
4,99,0.228